No. 1
The following is a PBE calculation of crystalline YInHg at its relaxed geometry, from Alexandria via LeMat-Bulk.

Summary:
As for the density of states at the Fermi level: 0.49 states/eV/atom. The calculation puts the volume at 25.33 Å³ per atom. The calculation puts the total energy at -21.6 eV/cell.

Cell: 6.1295 6.1295 7.3056 Å, 126.56 126.56 46.69°
Last column: nearest neighbours and their distance in Å.
Sites, in units of the cell vectors:
Y: 0.0000 0.0000 0.0000  6 Hg 3.23-3.53, 6 In 3.27-3.48, 1 Y 3.59
Y: 0.9998 0.9998 0.4917  6 Hg 3.19-3.57, 6 In 3.29-3.46
In: 0.3312 0.3312 0.5531  3 Hg 2.84-3.17, 1 In 2.89
In: 0.6683 0.6683 0.8912  3 Hg 2.84-3.17, 1 In 2.89
Hg: 0.3311 0.3311 0.1184  3 In 2.84-3.17, 1 Hg 2.90
Hg: 0.6693 0.6693 0.4583  3 In 2.84-3.17, 1 Hg 2.90



No. 2
The following is a PBE calculation of crystalline YInHg at its relaxed geometry, from Alexandria via LeMat-Bulk.

Summary:
As for the density of states at the Fermi level: 0.78 states/eV/atom. The calculation puts the volume at 26.18 Å³ per atom. The calculation puts the total energy at -10.3 eV/cell.

Cell: 5.5565 5.5565 5.5565 Å, 141.90 131.30 63.45°
Last column: nearest neighbours and their distance in Å.
Sites, in units of the cell vectors:
Y: 0.0000 0.0000 0.0000  5 Hg 3.14-3.33, 5 In 3.20-3.30
In: 0.3387 0.3387 0.0000  5 Hg 3.11-3.34, 5 Y 3.20-3.30
Hg: 0.6680 0.6680 0.0000  5 In 3.11-3.34, 5 Y 3.14-3.33



No. 3
The following is a PBE calculation of crystalline YInHg at its relaxed geometry, from Alexandria via LeMat-Bulk.

Summary:
As for the density of states at the Fermi level: 0.51 states/eV/atom. The calculation puts the volume at 25.72 Å³ per atom. The calculation puts the total energy at -21.4 eV/cell.

Cell: 6.4939 6.4939 6.3577 Å, 118.95 118.95 42.32°
Last column: nearest neighbours and their distance in Å.
Sites, in units of the cell vectors:
Y: 0.1811 0.1811 0.2302  4 Hg 3.03-3.25, 2 In 3.27
Y: 0.8189 0.8189 0.7698  4 Hg 3.03-3.25, 2 In 3.27
In: 0.4960 0.4960 0.2401  2 Hg 3.03, 2 In 3.10-3.26, 2 Y 3.27
In: 0.5040 0.5040 0.7599  2 Hg 3.03, 2 In 3.10-3.26, 2 Y 3.27
Hg: 0.1455 0.1455 0.7029  4 Y 3.03-3.25, 2 In 3.03, 1 Hg 3.10
Hg: 0.8545 0.8545 0.2971  4 Y 3.03-3.25, 2 In 3.03, 1 Hg 3.10



Question: The lowest total energy belongs to which entry?
Answer: number 1



Question: What is the formula in the third record?
Answer: YInHg



Question: The highest total energy belongs to which entry?
Answer: number 2